(1)
## MgRhF3 (PBE-GGA)

Data for an optimized crystal structure of MgRhF3.

Output
Formation energy (no corrections) in kJ/mol of formula units: -911

Unit cell a=3.977 b=3.977 c=3.977 alpha=90.00 beta=90.00 gamma=90.00
Last column: magnetic moment on the atom in μB.
Positions (direct):
Mg: 0.000 0.000 0.000  0.00
Rh: 0.500 0.500 0.500  1.76
F: 0.000 0.500 0.000  0.05
F: 0.000 0.000 0.500  0.03
F: 0.500 0.000 0.000  0.03

(2)
## CdAs2P (PBE-GGA)

Data for an optimized crystal structure of CdAs2P.

Output
Energy of formation from the pure elements in meV/atom: 230

Unit cell a=5.477 b=5.477 c=5.485 alpha=64.78 beta=64.78 gamma=36.65
Positions (direct):
As: 0.954 0.954 0.152
As: 0.318 0.318 0.962
Cd: 0.583 0.583 0.477
P: 0.645 0.645 0.909